# 1
# AcPaBeO5

A relaxed structure of AcPaBeO5 (PBE-GGA, Alexandria via LeMat-Bulk).

Lattice parameters (Å, degrees): 6.8997 9.4318 7.7468 90.00 109.72 90.00
With the nearest neighbours (Å) after each atom.
Space group C2/c (No. 15)
Unique sites:
1 Ac 0.0000 0.1480 0.2500 x4  5 O 2.43-2.62
2 Pa 0.0000 0.5000 0.0000 x4  6 O 2.13-2.23
3 Be 0.0000 0.1870 0.7500 x4  4 O 1.71-1.74
4 O 0.0000 0.4054 0.2500 x4  2 Pa 2.13
5 O 0.1055 0.2942 0.6274 x8  1 Be 1.71
6 O 0.1732 0.0723 0.9022 x8  1 Be 1.74


# 2
# Ac2BePbO6

A relaxed structure of Ac2BePbO6 (PBE-GGA, Alexandria via LeMat-Bulk).

Lattice parameters (Å, degrees): 9.9406 5.6128 5.7524 90.00 122.86 90.00
With the nearest neighbours (Å) after each atom.
Space group C2/m (No. 12)
Unique sites:
1 Ac 0.2433 0.0000 0.2303 x4  5 O 2.52-2.63
2 Be 0.0000 0.5000 0.0000 x2  4 O 1.87
3 Pb 0.0000 0.0000 0.5000 x2  6 O 2.16-2.21
4 O 0.0430 0.2669 0.8168 x8  1 Be 1.87
5 O 0.2446 0.5000 0.3207 x4  1 Be 2.11, 1 Pb 2.16


# 3
# AcBe4Pd3O12

A relaxed structure of AcBe4Pd3O12 (PBE-GGA, Alexandria via LeMat-Bulk).

Lattice parameters (Å, degrees): 10.1319 10.1319 7.6102 90.00 90.00 120.00
With the nearest neighbours (Å) after each atom.
Space group R32 (No. 155, hexagonal axes)
Unique sites:
1 Ac 0.0000 0.0000 0.0000 x3  6 O 2.50
2 Be 0.0000 0.0000 0.5000 x3  3 O 1.57
3 Be 0.0000 0.4263 0.5000 x9  3 O 1.53-1.58
4 Pd 0.0000 0.5665 0.0000 x9  6 O 1.98-2.06
5 O 0.0000 0.5824 0.5000 x9  1 Be 1.58
6 O 0.0000 0.8452 0.5000 x9  1 Be 1.57
7 O 0.0476 0.2231 0.1867 x18  1 Be 1.53


# 4
# Ac2Be2PdO6

A relaxed structure of Ac2Be2PdO6 (PBE-GGA, Alexandria via LeMat-Bulk).

Lattice parameters (Å, degrees): 5.6382 5.6382 5.8682 90.00 90.00 120.00
With the nearest neighbours (Å) after each atom.
Space group P-3 (No. 147)
Unique sites:
1 Ac 0.3333 0.6667 0.2669 x2  3 O 2.40
2 Be 0.3333 0.6667 0.7763 x2  3 O 1.52
3 Pd 0.0000 0.0000 0.0000 x1  6 O 2.28
4 O 0.1067 0.3687 0.7724 x6  1 Be 1.52


# 5
# AcBePdO4

A relaxed structure of AcBePdO4 (PBE-GGA, Alexandria via LeMat-Bulk).

Lattice parameters (Å, degrees): 5.7067 5.7067 6.3603 90.00 90.00 90.00
With the nearest neighbours (Å) after each atom.
Space group I-4 (No. 82)
Unique sites:
1 Ac 0.0000 0.0000 0.0000 x2  4 O 2.45
2 Be 0.0000 0.5000 0.2500 x2  4 O 1.65
3 Pd 0.0000 0.0000 0.5000 x2  4 O 2.02
4 O 0.1398 0.6985 0.3901 x8  1 Be 1.65


# 6
# Ac2PmBe2O6

A relaxed structure of Ac2PmBe2O6 (PBE-GGA, Alexandria via LeMat-Bulk).

Lattice parameters (Å, degrees): 5.4481 5.4481 9.0069 90.00 90.00 120.00
With the nearest neighbours (Å) after each atom.
Space group P-3 (No. 147)
Unique sites:
1 Ac 0.3333 0.6667 0.2767 x2  3 O 2.31
2 Pm 0.0000 0.0000 0.0000 x1  6 O 2.37
3 Be 0.3333 0.6667 0.8403 x2  3 O 1.55
4 O 0.0640 0.6954 0.8370 x6  1 Be 1.55


# 7
# Ac2PmBeO5

A relaxed structure of Ac2PmBeO5 (PBE-GGA, Alexandria via LeMat-Bulk).

Lattice parameters (Å, degrees): 6.9564 6.9564 5.6093 90.00 90.00 90.00
With the nearest neighbours (Å) after each atom.
Space group P4/mbm (No. 127)
Unique sites:
1 Ac 0.1716 0.3284 0.0000 x4  8 O 2.50-2.64
2 Pm 0.0000 0.0000 0.5000 x2  10 O 2.80-2.99
3 Be 0.0000 0.5000 0.5000 x2  4 O 1.79
4 O 0.0000 0.0000 0.0000 x2  4 Ac 2.58, 2 Pm 2.80
5 O 0.1310 0.6310 0.2795 x8  1 Be 1.79


# 8
# Ac2PrBe2O6

A relaxed structure of Ac2PrBe2O6 (PBE-GGA, Alexandria via LeMat-Bulk).

Lattice parameters (Å, degrees): 5.6531 5.6531 6.4161 90.00 90.00 120.00
With the nearest neighbours (Å) after each atom.
Space group P-3 (No. 147)
Unique sites:
1 Ac 0.3333 0.6667 0.3382 x2  3 O 2.43
2 Pr 0.0000 0.0000 0.0000 x1  6 O 2.46
3 Be 0.3333 0.6667 0.7966 x2  3 O 1.56
4 O 0.1006 0.7325 0.7498 x6  1 Be 1.56


# 9
# Ac2BePtO5

A relaxed structure of Ac2BePtO5 (PBE-GGA, Alexandria via LeMat-Bulk).

Lattice parameters (Å, degrees): 7.3214 7.3214 5.6481 90.00 90.00 90.00
With the nearest neighbours (Å) after each atom.
Space group P4/mbm (No. 127)
Unique sites:
1 Ac 0.1781 0.3219 0.0000 x4  2 O 2.40
2 Be 0.0000 0.0000 0.5000 x2  10 O 2.82-3.16
3 Pt 0.0000 0.5000 0.5000 x2  4 O 1.97
4 O 0.0000 0.0000 0.0000 x2  4 Ac 2.69, 2 Be 2.82
5 O 0.1361 0.6361 0.2552 x8  1 Pt 1.97


# 10
# Ac2BePtO6

A relaxed structure of Ac2BePtO6 (PBE-GGA, Alexandria via LeMat-Bulk).

Lattice parameters (Å, degrees): 9.5467 5.5912 5.6783 90.00 126.17 90.00
With the nearest neighbours (Å) after each atom.
Space group C2/m (No. 12)
Unique sites:
1 Ac 0.2500 0.0000 0.2503 x4  7 O 2.55-2.81
2 Be 0.0000 0.0000 0.5000 x2  6 O 1.84-1.95
3 Pt 0.0000 0.5000 0.0000 x2  6 O 2.05-2.06
4 O 0.0266 0.2439 0.7699 x8  1 Be 1.95, 1 Pt 2.05
5 O 0.2359 0.0000 0.6857 x4  1 Be 1.84, 1 Pt 2.06


# 11
# AcBe2PtO6

A relaxed structure of AcBe2PtO6 (PBE-GGA, Alexandria via LeMat-Bulk).

Lattice parameters (Å, degrees): 8.2043 9.8224 6.4286 90.00 102.53 90.00
With the nearest neighbours (Å) after each atom.
Space group C2/c (No. 15)
Unique sites:
1 Ac 0.0000 0.1101 0.2500 x4  4 O 2.42-2.65
2 Be 0.1905 0.4112 0.1980 x8  3 O 1.53-1.56
3 Pt 0.0000 0.2987 0.7500 x4  6 O 1.97-2.06
4 O 0.0835 0.3021 0.0617 x8  1 Be 1.53
5 O 0.1356 0.1366 0.6729 x8  1 Be 1.56
6 O 0.1771 0.4340 0.7231 x8  1 Be 1.54


# 12
# AcPuBeO5

A relaxed structure of AcPuBeO5 (PBE-GGA, Alexandria via LeMat-Bulk).

Lattice parameters (Å, degrees): 6.8460 9.3555 7.5775 90.00 110.06 90.00
With the nearest neighbours (Å) after each atom.
Space group C2/c (No. 15)
Unique sites:
1 Ac 0.0000 0.1502 0.2500 x4  5 O 2.44-2.61
2 Pu 0.0000 0.5000 0.0000 x4  6 O 2.07-2.20
3 Be 0.0000 0.1880 0.7500 x4  4 O 1.70-1.73
4 O 0.0000 0.4113 0.2500 x4  2 Pu 2.07
5 O 0.1021 0.2935 0.6203 x8  1 Be 1.70
6 O 0.1753 0.0730 0.9032 x8  1 Be 1.73


# 13
# AcPu2BeO8

A relaxed structure of AcPu2BeO8 (PBE-GGA, Alexandria via LeMat-Bulk).

Lattice parameters (Å, degrees): 4.1858 5.7750 7.0210 100.23 91.26 95.79
With the nearest neighbours (Å) after each atom.
Space group P-1 (No. 2)
Unique sites:
1 Ac 0.0000 0.0000 0.0000 x1  8 O 2.48-2.63
2 Pu 0.4660 0.4657 0.7361 x2  4 O 2.02-2.21
3 Be 0.0000 0.0000 0.5000 x1  2 O 1.46
4 O 0.0662 0.4039 0.2338 x2  1 Pu 2.02
5 O 0.0747 0.1465 0.6912 x2  1 Be 1.46
6 O 0.4434 0.7110 0.5410 x2  2 Pu 2.09-2.15
7 O 0.4611 0.7251 0.0078 x2  2 Pu 2.21-2.30


# 14
# Rb2AcBe2O4

A relaxed structure of Rb2AcBe2O4 (PBE-GGA, Alexandria via LeMat-Bulk).

Lattice parameters (Å, degrees): 13.0236 3.7053 9.7076 90.00 104.22 90.00
With the nearest neighbours (Å) after each atom.
Space group C2/m (No. 12)
Unique sites:
1 Rb 0.1614 0.0000 0.1907 x4  4 O 3.05-3.17, 3 Be 3.22-3.40
2 Ac 0.0000 0.0000 0.5000 x2  6 O 2.48-2.56
3 Be 0.1886 0.5000 0.4687 x4  2 O 1.53-1.54
4 O 0.0732 0.5000 0.3829 x4  1 Be 1.53
5 O 0.2028 0.0000 0.5668 x4  1 Be 1.54


# 15
# RbAcBeO3

A relaxed structure of RbAcBeO3 (PBE-GGA, Alexandria via LeMat-Bulk).

Lattice parameters (Å, degrees): 12.8239 4.3835 7.6751 90.00 107.02 90.00
With the nearest neighbours (Å) after each atom.
Space group C2/m (No. 12)
Unique sites:
1 Rb 0.1379 0.0000 0.0659 x4  7 O 2.83-3.15
2 Ac 0.1477 0.0000 0.5870 x4  2 O 2.33-2.38
3 Be 0.0096 0.5000 0.2939 x4  2 O 1.56-1.57
4 O 0.0103 0.0000 0.3102 x4  2 Be 2.20, 2 Ac 2.33-2.38
5 O 0.1172 0.5000 0.7626 x4  1 Be 1.56
6 O 0.1378 0.5000 0.3572 x4  1 Be 1.57


# 16
# AcBeReO6

A relaxed structure of AcBeReO6 (PBE-GGA, Alexandria via LeMat-Bulk).

Lattice parameters (Å, degrees): 5.3022 5.3022 5.0416 90.00 90.00 120.00
With the nearest neighbours (Å) after each atom.
Space group P3 (No. 143)
Unique sites:
1 Ac 0.0000 0.0000 0.0000 x1  6 O 2.55-2.59
2 Be 0.6667 0.3333 0.8072 x1  3 O 1.55
3 Re 0.3333 0.6667 0.5715 x1  3 O 1.78
4 O 0.0881 0.7479 0.4016 x3  1 Re 1.78
5 O 0.4562 0.0018 0.8392 x3  1 Be 1.55


# 17
# AcBeRhO4

A relaxed structure of AcBeRhO4 (PBE-GGA, Alexandria via LeMat-Bulk).

Lattice parameters (Å, degrees): 5.6442 5.6442 6.5192 90.00 90.00 90.00
With the nearest neighbours (Å) after each atom.
Space group I-4 (No. 82)
Unique sites:
1 Ac 0.0000 0.0000 0.0000 x2  4 O 2.46
2 Be 0.0000 0.5000 0.2500 x2  4 O 1.65
3 Rh 0.0000 0.0000 0.5000 x2  4 O 2.00
4 O 0.1408 0.2948 0.3824 x8  1 Be 1.65


# 18
# AcBe4Rh3O12

A relaxed structure of AcBe4Rh3O12 (PBE-GGA, Alexandria via LeMat-Bulk).

Lattice parameters (Å, degrees): 10.1121 10.1121 7.5894 90.00 90.00 120.00
With the nearest neighbours (Å) after each atom.
Space group R32 (No. 155, hexagonal axes)
Unique sites:
1 Ac 0.0000 0.0000 0.0000 x3  6 O 2.52
2 Be 0.0000 0.0000 0.5000 x3  3 O 1.57
3 Be 0.0000 0.4290 0.5000 x9  3 O 1.53-1.58
4 Rh 0.0000 0.5659 0.0000 x9  6 O 1.97-2.04
5 O 0.0000 0.5854 0.5000 x9  1 Be 1.58
6 O 0.0000 0.8443 0.5000 x9  1 Be 1.57
7 O 0.0464 0.2232 0.1901 x18  1 Be 1.53


# 19
# Ac2BeRuO6

A relaxed structure of Ac2BeRuO6 (PBE-GGA, Alexandria via LeMat-Bulk).

Lattice parameters (Å, degrees): 5.5399 5.5399 27.4249 90.00 90.00 120.00
With the nearest neighbours (Å) after each atom.
Space group R-3m (No. 166, hexagonal axes)
Unique sites:
1 Ac 0.0000 0.0000 0.1279 x6  12 O 2.73-2.87
2 Ac 0.0000 0.0000 0.2900 x6  12 O 2.77-2.81
3 Be 0.0000 0.0000 0.0000 x3  6 O 1.87
4 Be 0.0000 0.0000 0.5000 x3  6 O 1.91
5 Ru 0.0000 0.0000 0.4126 x6  6 O 2.00-2.02
6 O 0.0095 0.5047 0.1262 x18  1 Be 1.91, 1 Ru 2.02
7 O 0.0142 0.5071 0.7059 x18  1 Be 1.87, 1 Ru 2.00


What are the calculated volume values for these records? In order: 14.83 13.48 11.28 14.69 14.80 21.05 15.08 16.14 16.82 12.23 12.64 14.25 13.84 25.23 17.19 13.64 14.83 11.20 12.15 A^3/atom.
What are the electronic total energy values for these records? In order: -8.51 -6.86 -6.21 -6.79 -6.54 -7.39 -7.22 -7.29 -6.40 -7.07 -6.66 -8.76 -8.99 -5.84 -6.24 -7.91 -6.94 -6.71 -7.49 eV per atom.